1.
A geometry-optimized NaS3 structure. Source: the Alexandria database, functional PBE-GGA.

Summary:
Volume ... 25.92 A^3/atom
Relative energy among the computed polymorphs ... 308 meV/atom

abc: 6.834 6.834 5.127
angles: 90.00 90.00 120.00
Fractional positions:
1 Na 0.333 0.667 0.250
2 Na 0.667 0.333 0.750
3 S 0.223 0.447 0.750
4 S 0.223 0.777 0.750
5 S 0.447 0.223 0.250
6 S 0.553 0.777 0.750
7 S 0.777 0.223 0.250
8 S 0.777 0.553 0.250

2.
A geometry-optimized NaS2 structure. Source: the Alexandria database, functional PBE-GGA.

Summary:
Volume ... 23.37 A^3/atom
Relative energy among the computed polymorphs ... 0 meV/atom

abc: 9.090 9.090 9.090
angles: 115.55 115.55 97.89
Fractional positions:
1 Na 0.147 0.625 0.022
2 Na 0.170 0.170 0.000
3 Na 0.375 0.397 0.522
4 Na 0.580 0.080 0.500
5 Na 0.603 0.125 0.978
6 Na 0.830 0.830 0.000
7 Na 0.875 0.853 0.478
8 Na 0.920 0.420 0.500
9 S 0.000 0.529 0.235
10 S 0.012 0.294 0.216
11 S 0.044 0.262 0.716
12 S 0.078 0.797 0.784
13 S 0.203 0.988 0.282
14 S 0.235 0.000 0.529
15 S 0.279 0.250 0.735
16 S 0.294 0.765 0.765
17 S 0.456 0.721 0.971
18 S 0.471 0.706 0.471
19 S 0.515 0.544 0.265
20 S 0.547 0.328 0.284
21 S 0.672 0.956 0.218
22 S 0.706 0.922 0.718
23 S 0.738 0.453 0.782
24 S 0.750 0.485 0.029

3.
A geometry-optimized Na5S6 structure. Source: the Alexandria database, functional PBE-GGA.

Summary:
Volume ... 23.60 A^3/atom
VASP energy ... -3.489 eV/atom

abc: 7.940 7.940 5.950
angles: 97.17 97.17 133.20
Fractional positions:
1 Na 0.000 0.000 0.000
2 Na 0.320 0.680 0.000
3 Na 0.361 0.639 0.500
4 Na 0.639 0.361 0.500
5 Na 0.680 0.320 0.000
6 S 0.153 0.803 0.320
7 S 0.197 0.847 0.680
8 S 0.451 0.451 0.155
9 S 0.549 0.549 0.845
10 S 0.803 0.153 0.320
11 S 0.847 0.197 0.680

4.
A geometry-optimized NaS4 structure. Source: the Alexandria database, functional PBE-GGA.

Summary:
Volume ... 29.08 A^3/atom
Relative energy among the computed polymorphs ... 1573 meV/atom

abc: 5.258 5.258 5.258
angles: 90.00 90.00 90.00
Fractional positions:
1 Na 0.000 0.000 0.000
2 S 0.000 0.000 0.500
3 S 0.000 0.500 0.000
4 S 0.500 0.000 0.000
5 S 0.500 0.500 0.500

5.
A geometry-optimized Na3S2 structure. Source: the Alexandria database, functional PBE-GGA.

Summary:
Volume ... 22.33 A^3/atom
VASP energy ... -3.261 eV/atom

abc: 6.206 6.206 6.206
angles: 77.11 77.11 77.11
Fractional positions:
1 Na 0.047 0.750 0.453
2 Na 0.250 0.547 0.953
3 Na 0.453 0.047 0.750
4 Na 0.547 0.953 0.250
5 Na 0.750 0.453 0.047
6 Na 0.953 0.250 0.547
7 S 0.121 0.121 0.121
8 S 0.379 0.379 0.379
9 S 0.621 0.621 0.621
10 S 0.879 0.879 0.879

6.
A geometry-optimized NaS2 structure. Source: the Alexandria database, functional PBE-GGA.

Summary:
Volume ... 24.85 A^3/atom
Relative energy among the computed polymorphs ... 175 meV/atom

abc: 5.414 5.414 5.756
angles: 90.00 117.91 90.00
Fractional positions:
1 Na 0.000 0.000 0.000
2 Na 0.500 0.500 0.000
3 S 0.100 0.500 0.200
4 S 0.400 0.000 0.800
5 S 0.600 0.000 0.200
6 S 0.900 0.500 0.800